1.
Computed, not measured: an optimized crystal structure of NbSbPO at the PBE-GGA level of DFT.

The calculation puts the distance to the lowest polymorph of the same formula at 1.99 eV per formula unit. The value obtained for the raw total energy is -0.2375 Ha/atom. As for the crystal system: tetragonal. The density comes out at 6.2 g/cm³.

```
data_NbSbPO
_symmetry_space_group_name_H-M 'P 4/n m m'
_symmetry_Int_Tables_number 129
_cell_length_a 3.805
_cell_length_b 3.805
_cell_length_c 9.626
_cell_angle_alpha 90.00
_cell_angle_beta 90.00
_cell_angle_gamma 90.00
loop_
_symmetry_equiv_pos_as_xyz
'x,y,z'
'-x,-y,-z'
'-y+1/2,x,z'
'y+1/2,-x,-z'
'-x+1/2,-y+1/2,z'
'x+1/2,y+1/2,-z'
'y,-x+1/2,z'
'-y,x+1/2,-z'
'x+1/2,-y,-z'
'-x+1/2,y,z'
'-y,-x,-z'
'y,x,z'
'-x,y+1/2,-z'
'x,-y+1/2,z'
'y+1/2,x+1/2,-z'
'-y+1/2,-x+1/2,z'
loop_
_atom_site_label
_atom_site_type_symbol
_atom_site_fract_x
_atom_site_fract_y
_atom_site_fract_z
Nb1 Nb 0.250 0.250 0.110
Sb1 Sb 0.250 0.750 0.500
P1 P 0.250 0.250 0.764
O1 O 0.250 0.750 0.000
```


2.
Computed, not measured: an optimized crystal structure of NbSbPO at the PBE-GGA level of DFT.

The calculation puts the distance to the lowest polymorph of the same formula at 1.16 eV per formula unit. The value obtained for the raw total energy is -0.2451 Ha/atom. As for the crystal system: tetragonal. The density comes out at 6.3 g/cm³.

```
data_NbSbPO
_symmetry_space_group_name_H-M 'P 4/n m m'
_symmetry_Int_Tables_number 129
_cell_length_a 3.929
_cell_length_b 3.929
_cell_length_c 8.966
_cell_angle_alpha 90.00
_cell_angle_beta 90.00
_cell_angle_gamma 90.00
loop_
_symmetry_equiv_pos_as_xyz
'x,y,z'
'-x,-y,-z'
'-y+1/2,x,z'
'y+1/2,-x,-z'
'-x+1/2,-y+1/2,z'
'x+1/2,y+1/2,-z'
'y,-x+1/2,z'
'-y,x+1/2,-z'
'x+1/2,-y,-z'
'-x+1/2,y,z'
'-y,-x,-z'
'y,x,z'
'-x,y+1/2,-z'
'x,-y+1/2,z'
'y+1/2,x+1/2,-z'
'-y+1/2,-x+1/2,z'
loop_
_atom_site_label
_atom_site_type_symbol
_atom_site_fract_x
_atom_site_fract_y
_atom_site_fract_z
Nb1 Nb 0.250 0.750 0.000
Sb1 Sb 0.250 0.250 0.368
P1 P 0.250 0.250 0.814
O1 O 0.250 0.750 0.500
```


3.
Computed, not measured: an optimized crystal structure of NbSbPO at the PBE-GGA level of DFT.

The calculation puts the distance to the lowest polymorph of the same formula at 0.00 eV per formula unit. The value obtained for the raw total energy is -0.2558 Ha/atom. As for the crystal system: orthorhombic. The density comes out at 5.3 g/cm³.

```
data_NbSbPO
_symmetry_space_group_name_H-M 'P m c 21'
_symmetry_Int_Tables_number 26
_cell_length_a 3.344
_cell_length_b 6.830
_cell_length_c 7.211
_cell_angle_alpha 90.00
_cell_angle_beta 90.00
_cell_angle_gamma 90.00
loop_
_symmetry_equiv_pos_as_xyz
'x,y,z'
'-x,-y,z+1/2'
'-x,y,z'
'x,-y,z+1/2'
loop_
_atom_site_label
_atom_site_type_symbol
_atom_site_fract_x
_atom_site_fract_y
_atom_site_fract_z
Nb1 Nb 0.000 0.065 0.000
Sb1 Sb 0.500 0.301 0.576
P1 P 0.500 0.321 0.925
O1 O 0.000 0.093 0.263
```


4.
Computed, not measured: an optimized crystal structure of NbSiPO at the PBE-GGA level of DFT.

The calculation puts the distance to the lowest polymorph of the same formula at 0.00 eV per formula unit. The value obtained for the raw total energy is -0.2645 Ha/atom. As for the crystal system: tetragonal. The density comes out at 5.1 g/cm³.

```
data_NbSiPO
_symmetry_space_group_name_H-M 'P 4/n m m'
_symmetry_Int_Tables_number 129
_cell_length_a 3.396
_cell_length_b 3.396
_cell_length_c 9.440
_cell_angle_alpha 90.00
_cell_angle_beta 90.00
_cell_angle_gamma 90.00
loop_
_symmetry_equiv_pos_as_xyz
'x,y,z'
'-x,-y,-z'
'-y+1/2,x,z'
'y+1/2,-x,-z'
'-x+1/2,-y+1/2,z'
'x+1/2,y+1/2,-z'
'y,-x+1/2,z'
'-y,x+1/2,-z'
'x+1/2,-y,-z'
'-x+1/2,y,z'
'-y,-x,-z'
'y,x,z'
'-x,y+1/2,-z'
'x,-y+1/2,z'
'y+1/2,x+1/2,-z'
'-y+1/2,-x+1/2,z'
loop_
_atom_site_label
_atom_site_type_symbol
_atom_site_fract_x
_atom_site_fract_y
_atom_site_fract_z
Nb1 Nb 0.250 0.250 0.143
Si1 Si 0.250 0.750 0.500
P1 P 0.250 0.250 0.734
O1 O 0.250 0.750 0.000
```


5.
Computed, not measured: an optimized crystal structure of NbSiPO at the PBE-GGA level of DFT.

The calculation puts the distance to the lowest polymorph of the same formula at 0.01 eV per formula unit. The value obtained for the raw total energy is -0.2644 Ha/atom. As for the crystal system: orthorhombic. The density comes out at 5.0 g/cm³.

```
data_NbSiPO
_symmetry_space_group_name_H-M 'P m c 21'
_symmetry_Int_Tables_number 26
_cell_length_a 3.553
_cell_length_b 5.621
_cell_length_c 5.555
_cell_angle_alpha 90.00
_cell_angle_beta 90.00
_cell_angle_gamma 90.00
loop_
_symmetry_equiv_pos_as_xyz
'x,y,z'
'-x,-y,z+1/2'
'-x,y,z'
'x,-y,z+1/2'
loop_
_atom_site_label
_atom_site_type_symbol
_atom_site_fract_x
_atom_site_fract_y
_atom_site_fract_z
Nb1 Nb 0.000 0.032 0.000
Si1 Si 0.500 0.343 0.275
P1 P 0.500 0.246 0.708
O1 O 0.000 0.319 0.281
```


6.
Computed, not measured: an optimized crystal structure of NbSiPO at the PBE-GGA level of DFT.

The calculation puts the distance to the lowest polymorph of the same formula at 0.48 eV per formula unit. The value obtained for the raw total energy is -0.2601 Ha/atom. As for the crystal system: tetragonal. The density comes out at 4.2 g/cm³.

```
data_NbSiPO
_symmetry_space_group_name_H-M 'P 4/n m m'
_symmetry_Int_Tables_number 129
_cell_length_a 3.904
_cell_length_b 3.904
_cell_length_c 8.798
_cell_angle_alpha 90.00
_cell_angle_beta 90.00
_cell_angle_gamma 90.00
loop_
_symmetry_equiv_pos_as_xyz
'x,y,z'
'-x,-y,-z'
'-y+1/2,x,z'
'y+1/2,-x,-z'
'-x+1/2,-y+1/2,z'
'x+1/2,y+1/2,-z'
'y,-x+1/2,z'
'-y,x+1/2,-z'
'x+1/2,-y,-z'
'-x+1/2,y,z'
'-y,-x,-z'
'y,x,z'
'-x,y+1/2,-z'
'x,-y+1/2,z'
'y+1/2,x+1/2,-z'
'-y+1/2,-x+1/2,z'
loop_
_atom_site_label
_atom_site_type_symbol
_atom_site_fract_x
_atom_site_fract_y
_atom_site_fract_z
Nb1 Nb 0.250 0.750 0.000
Si1 Si 0.250 0.250 0.433
P1 P 0.250 0.250 0.182
O1 O 0.250 0.750 0.500
```


7.
Computed, not measured: an optimized crystal structure of NbSiPO at the PBE-GGA level of DFT.

The calculation puts the distance to the lowest polymorph of the same formula at 0.93 eV per formula unit. The value obtained for the raw total energy is -0.2560 Ha/atom. As for the crystal system: tetragonal. The density comes out at 4.7 g/cm³.

```
data_NbSiPO
_symmetry_space_group_name_H-M 'P 4/n m m'
_symmetry_Int_Tables_number 129
_cell_length_a 4.058
_cell_length_b 4.058
_cell_length_c 7.205
_cell_angle_alpha 90.00
_cell_angle_beta 90.00
_cell_angle_gamma 90.00
loop_
_symmetry_equiv_pos_as_xyz
'x,y,z'
'-x,-y,-z'
'-y+1/2,x,z'
'y+1/2,-x,-z'
'-x+1/2,-y+1/2,z'
'x+1/2,y+1/2,-z'
'y,-x+1/2,z'
'-y,x+1/2,-z'
'x+1/2,-y,-z'
'-x+1/2,y,z'
'-y,-x,-z'
'y,x,z'
'-x,y+1/2,-z'
'x,-y+1/2,z'
'y+1/2,x+1/2,-z'
'-y+1/2,-x+1/2,z'
loop_
_atom_site_label
_atom_site_type_symbol
_atom_site_fract_x
_atom_site_fract_y
_atom_site_fract_z
Nb1 Nb 0.250 0.750 0.000
Si1 Si 0.250 0.250 0.464
P1 P 0.250 0.250 0.794
O1 O 0.250 0.750 0.500
```


8.
Computed, not measured: an optimized crystal structure of SmNbPO at the PBE-GGA level of DFT.

The calculation puts the distance to the lowest polymorph of the same formula at 0.00 eV per formula unit. The value obtained for the raw total energy is -0.3028 Ha/atom. As for the crystal system: tetragonal. The density comes out at 6.8 g/cm³.

```
data_SmNbPO
_symmetry_space_group_name_H-M 'P 4/n m m'
_symmetry_Int_Tables_number 129
_cell_length_a 3.984
_cell_length_b 3.984
_cell_length_c 8.921
_cell_angle_alpha 90.00
_cell_angle_beta 90.00
_cell_angle_gamma 90.00
loop_
_symmetry_equiv_pos_as_xyz
'x,y,z'
'-x,-y,-z'
'-y+1/2,x,z'
'y+1/2,-x,-z'
'-x+1/2,-y+1/2,z'
'x+1/2,y+1/2,-z'
'y,-x+1/2,z'
'-y,x+1/2,-z'
'x+1/2,-y,-z'
'-x+1/2,y,z'
'-y,-x,-z'
'y,x,z'
'-x,y+1/2,-z'
'x,-y+1/2,z'
'y+1/2,x+1/2,-z'
'-y+1/2,-x+1/2,z'
loop_
_atom_site_label
_atom_site_type_symbol
_atom_site_fract_x
_atom_site_fract_y
_atom_site_fract_z
Sm1 Sm 0.250 0.250 0.130
Nb1 Nb 0.250 0.750 0.500
P1 P 0.250 0.250 0.683
O1 O 0.250 0.750 0.000
```